(1)
Here is crystalline CoGePb2I at its relaxed geometry from the Alexandria database. Energies are from GGA-PBEsol.

Calculated values
M_tot ... 1.042 μB/cell
Energy relative to the elements, uncorrected ... 1099.1 meV per atom
Calculated volume ... 32.1 Å³ per atom

a b c (Å): 4.453 6.001 6.001
angles (deg): 90.00 90.00 90.00
Site moments in Bohr magnetons follow the coordinates.
Fractional coordinates of all 5 atoms:
Pb: 0.000 0.000 0.500  -0.01
Pb: 0.000 0.500 0.000  -0.01
I: 0.000 0.000 0.000  0.01
Ge: 0.500 0.500 0.500  0.04
Co: 0.500 0.000 0.000  1.01

***

(2)
Here is crystalline Tl2CoGeI at its relaxed geometry from the Alexandria database. Energies are from GGA-PBEsol.

Calculated values
M_tot ... 1.847 μB/cell
Energy relative to the elements, uncorrected ... 1062.0 meV per atom
Calculated volume ... 34.8 Å³ per atom

a b c (Å): 4.522 6.206 6.206
angles (deg): 90.00 90.00 90.00
Site moments in Bohr magnetons follow the coordinates.
Fractional coordinates of all 5 atoms:
I: 0.000 0.000 0.000  0.04
Tl: 0.000 0.000 0.500  0.01
Tl: 0.000 0.500 0.000  0.01
Co: 0.500 0.000 0.000  1.41
Ge: 0.500 0.500 0.500  0.15